A plane-wave DFT calculation with GGA+U was carried out for SrCrPb2F8 after structural relaxation.

For the density of states at the Fermi level, the calculation gives 0.00 states/eV per cell. Its total energy is -65.31 eV per cell. The space group is P-1, No. 2. The value obtained for the total moment is 4.000 μB per cell.

a b c (Å): 4.2279 5.8501 8.2152
angles (deg): 85.42 88.08 86.03
Last column: magnetic moment on the atom in μB.
Element x y z (fractional)
Cr  0.0000  0.0000  0.0000  3.80
F  0.3897  0.7777  0.9693  0.00
F  0.6103  0.2223  0.0307  0.00
F  0.0323  0.3126  0.2749  0.00
F  0.0387  0.1677  0.7758  0.00
F  0.4981  0.7520  0.4938  0.00
F  0.9677  0.6874  0.7251  0.00
F  0.5019  0.2480  0.5062  0.00
F  0.9613  0.8323  0.2242  0.00
Pb  0.5158  0.5158  0.2453  0.00
Pb  0.4842  0.4842  0.7547  0.00
Sr  0.0000  0.0000  0.5000  0.00